The following is a DFT calculation (PBEsol) of a geometry-optimized Mn2PSe structure.

The space group is R-3m (No. 166, hexagonal axes) and the conventional cell measures 3.4992, 3.4992 and 16.8459 Å, with angles of 90.00, 90.00 and 120.00 degrees. The inequivalent atoms are Mn at (0.0000, 0.0000, 0.2340), P at (0.0000, 0.0000, 0.5000) and Se at (0.0000, 0.0000, 0.0000).

The formation energy without anion corrections is -218 meV per atom. The uncorrected energy comes out at -7.51 eV per atom. For the total magnetic moment, the calculation gives 18.456 μB per cell. Its distance to the lowest polymorph of the same formula is 0 meV/atom.

=====

The following is a DFT calculation (PBEsol) of a geometry-optimized Ti2CdC structure.

The space group is P6_3/mmc (No. 194) and the conventional cell measures 3.0645, 3.0645 and 14.3425 Å, with angles of 90.00, 90.00 and 120.00 degrees. The inequivalent atoms are Ti at (0.3333, 0.6667, 0.0784), Cd at (0.3333, 0.6667, 0.7500) and C at (0.0000, 0.0000, 0.0000).

The value obtained for the formation energy is -2.355 eV per formula unit. The uncorrected energy comes out at -7.46 eV per atom. For the total magnetic moment, the calculation gives 0.000 μB per cell.

=====

The following is a DFT calculation (PBEsol) of a geometry-optimized VFeSb structure.

The space group is F-43m (No. 216) and the conventional cell measures 5.7151, 5.7151 and 5.7151 Å, with angles of 90.00, 90.00 and 90.00 degrees. The inequivalent atoms are V at (0.0000, 0.0000, 0.0000), Fe at (0.2500, 0.2500, 0.2500) and Sb at (0.0000, 0.0000, 0.5000).

The formation energy without anion corrections is -261 meV per atom. The uncorrected energy comes out at -7.98 eV per atom. For the total magnetic moment, the calculation gives 0.000 μB per cell.

=====

The following is a DFT calculation (PBEsol) of a geometry-optimized ScCu2 structure.

The space group is Pnma (No. 62) and the conventional cell measures 4.9999, 4.3426 and 8.0387 Å, with angles of 90.00, 90.00 and 90.00 degrees. The inequivalent atoms are Sc at (0.1245, 0.2500, 0.1313), Cu at (0.1312, 0.2500, 0.4914) and Cu at (0.2388, 0.7500, 0.3101).

The value obtained for the formation energy is -0.629 eV per formula unit. The uncorrected energy comes out at -5.30 eV per atom. For the total magnetic moment, the calculation gives 0.000 μB per cell.

=====

The following is a DFT calculation (PBEsol) of a geometry-optimized Mg2TlSn2 structure.

The space group is P4/mbm (No. 127) and the conventional cell measures 8.8687, 8.8687 and 3.1833 Å, with angles of 90.00, 90.00 and 90.00 degrees. The inequivalent atoms are Mg at (0.1393, 0.3607, 0.0000), Tl at (0.0000, 0.0000, 0.5000) and Sn at (0.1558, 0.6558, 0.5000).

The value obtained for the formation energy is -0.495 eV per formula unit. The uncorrected energy comes out at -3.02 eV per atom. For the total magnetic moment, the calculation gives 0.000 μB per cell. Its distance to the lowest polymorph of the same formula is 0 meV/atom.

=====

The following is a DFT calculation (PBEsol) of a geometry-optimized Sr2ReSi structure.

The space group is P4/mmm (No. 123) and the conventional cell measures 3.0078, 3.0078 and 9.7504 Å, with angles of 90.00, 90.00 and 90.00 degrees. The inequivalent atoms are Sr at (0.0000, 0.0000, 0.2451), Re at (0.5000, 0.5000, 0.5000) and Si at (0.5000, 0.5000, 0.0000).

The formation energy without anion corrections is 686 meV per atom. The uncorrected energy comes out at -5.00 eV per atom. For the total magnetic moment, the calculation gives 0.000 μB per cell.

=====

Question: total magnetic moment of number 3 (VFeSb)?
Answer: 0.000 μB per cell

=====

Question: uncorrected energy of number 3 (VFeSb)?
Answer: -7.98 eV per atom

=====

Question: Which of these has the highest total magnetic moment?
Answer: Mn2PSe